Entry from the Alexandria database: crystalline CsInF3 at its relaxed geometry (PBE).

Cell: 8.613 8.613 8.613 Å, 60.00 60.00 60.00°
Element x y z (fractional)
Cs (0.625, 0.625, 0.625)
Cs (0.625, 0.125, 0.625)
Cs (0.125, 0.625, 0.625)
Cs (0.625, 0.625, 0.125)
F (0.801, 0.199, 0.199)
F (0.051, 0.449, 0.449)
F (0.449, 0.449, 0.051)
F (0.449, 0.051, 0.051)
F (0.051, 0.449, 0.051)
F (0.801, 0.199, 0.801)
F (0.449, 0.051, 0.449)
F (0.051, 0.051, 0.449)
F (0.199, 0.801, 0.199)
F (0.199, 0.801, 0.801)
F (0.199, 0.199, 0.801)
F (0.801, 0.801, 0.199)
In (0.125, 0.125, 0.125)
In (0.125, 0.625, 0.125)
In (0.625, 0.125, 0.125)
In (0.125, 0.125, 0.625)

Output
- crystal system = cubic
- raw total energy (eV/atom) = -4.159
- SG = No. 227
- formation energy without anion corrections (kJ/mol of formula units) = -1118.3

Entry from the Alexandria database: crystalline CsInF3 at its relaxed geometry (PBE).

Cell: 4.143 4.143 15.607 Å, 90.00 90.00 120.00°
Element x y z (fractional)
Cs (0.000, 0.000, 0.000)
Cs (0.000, 0.000, 0.500)
F (0.000, 0.000, 0.250)
F (0.000, 0.000, 0.750)
F (0.333, 0.667, 0.889)
F (0.333, 0.667, 0.611)
F (0.667, 0.333, 0.389)
F (0.667, 0.333, 0.111)
In (0.333, 0.667, 0.750)
In (0.667, 0.333, 0.250)

Output
- crystal system = hexagonal
- raw total energy (eV/atom) = -4.161
- SG = No. 194
- formation energy without anion corrections (kJ/mol of formula units) = -1119.1

Entry from the Alexandria database: crystalline Cs12In3F5 at its relaxed geometry (PBE).

Cell: 17.385 17.385 17.385 Å, 109.47 109.47 109.47°
Site moments in Bohr magnetons follow the coordinates.
Element x y z (fractional)
In (0.750, 0.375, 0.125)  0.30
In (0.875, 0.750, 0.125)  0.30
In (0.375, 0.750, 0.625)  0.30
In (0.250, 0.125, 0.375)  0.30
In (0.875, 0.125, 0.250)  0.30
In (0.375, 0.625, 0.250)  0.30
In (0.625, 0.375, 0.750)  0.30
In (0.125, 0.875, 0.750)  0.30
In (0.750, 0.875, 0.625)  0.30
In (0.625, 0.250, 0.375)  0.30
In (0.125, 0.250, 0.875)  0.30
In (0.250, 0.625, 0.875)  0.30
F (0.125, 0.375, 0.250)  0.00
F (0.000, 0.500, 0.000)  0.01
F (0.000, 0.000, 0.000)  0.01
F (0.375, 0.250, 0.125)  0.00
F (0.500, 0.000, 0.500)  0.01
F (0.500, 0.500, 0.000)  0.01
F (0.125, 0.750, 0.375)  0.00
F (0.750, 0.125, 0.875)  0.00
F (0.750, 0.625, 0.375)  0.00
F (0.375, 0.125, 0.750)  0.00
F (0.625, 0.875, 0.250)  0.00
F (0.500, 0.500, 0.500)  0.01
F (0.500, 0.000, 0.000)  0.01
F (0.000, 0.000, 0.500)  0.01
F (0.250, 0.375, 0.625)  0.00
F (0.250, 0.875, 0.125)  0.00
F (0.000, 0.500, 0.500)  0.01
F (0.875, 0.250, 0.625)  0.00
F (0.625, 0.750, 0.875)  0.00
F (0.875, 0.625, 0.750)  0.00
Cs (0.693, 0.110, 0.009)  0.03
Cs (0.316, 0.509, 0.399)  0.03
Cs (0.991, 0.390, 0.307)  0.03
Cs (0.509, 0.193, 0.110)  0.03
Cs (0.582, 0.693, 0.684)  0.03
Cs (0.991, 0.601, 0.184)  0.03
Cs (0.316, 0.807, 0.418)  0.03
Cs (0.101, 0.918, 0.110)  0.03
Cs (0.601, 0.991, 0.684)  0.03
Cs (0.693, 0.582, 0.184)  0.03
Cs (0.807, 0.491, 0.390)  0.03
Cs (0.816, 0.899, 0.009)  0.03
Cs (0.110, 0.693, 0.509)  0.03
Cs (0.390, 0.399, 0.082)  0.03
Cs (0.082, 0.899, 0.390)  0.03
Cs (0.418, 0.110, 0.601)  0.03
Cs (0.082, 0.184, 0.193)  0.03
Cs (0.491, 0.684, 0.101)  0.03
Cs (0.816, 0.918, 0.307)  0.03
Cs (0.110, 0.418, 0.101)  0.03
Cs (0.390, 0.991, 0.807)  0.03
Cs (0.601, 0.610, 0.418)  0.03
Cs (0.899, 0.816, 0.509)  0.03
Cs (0.807, 0.316, 0.918)  0.03
Cs (0.399, 0.390, 0.582)  0.03
Cs (0.101, 0.184, 0.491)  0.03
Cs (0.193, 0.684, 0.082)  0.03
Cs (0.184, 0.082, 0.693)  0.03
Cs (0.610, 0.009, 0.193)  0.03
Cs (0.890, 0.582, 0.899)  0.03
Cs (0.509, 0.316, 0.899)  0.03
Cs (0.582, 0.890, 0.399)  0.03
Cs (0.918, 0.816, 0.807)  0.03
Cs (0.918, 0.101, 0.610)  0.03
Cs (0.890, 0.307, 0.491)  0.03
Cs (0.184, 0.101, 0.991)  0.03
Cs (0.610, 0.601, 0.918)  0.03
Cs (0.399, 0.009, 0.316)  0.03
Cs (0.307, 0.418, 0.816)  0.03
Cs (0.193, 0.509, 0.610)  0.03
Cs (0.899, 0.082, 0.890)  0.03
Cs (0.684, 0.193, 0.582)  0.03
Cs (0.491, 0.807, 0.890)  0.03
Cs (0.009, 0.399, 0.816)  0.03
Cs (0.418, 0.307, 0.316)  0.03
Cs (0.009, 0.610, 0.693)  0.03
Cs (0.684, 0.491, 0.601)  0.03
Cs (0.307, 0.890, 0.991)  0.03

Output
- crystal system = cubic
- raw total energy (eV/atom) = -2.614
- SG = No. 230
- formation energy without anion corrections (kJ/mol of formula units) = -2361.2

Entry from the Alexandria database: crystalline Cs2InF3 at its relaxed geometry (PBE).

Cell: 6.212 8.199 7.189 Å, 106.43 115.60 90.00°
Element x y z (fractional)
Cs (0.662, 0.582, 0.329)
Cs (0.667, 0.082, 0.329)
Cs (0.333, 0.918, 0.671)
Cs (0.338, 0.418, 0.671)
In (0.025, 0.750, 0.000)
In (0.975, 0.250, 0.000)
F (0.333, 0.250, 0.000)
F (0.667, 0.750, 0.000)
F (0.160, 0.079, 0.313)
F (0.847, 0.421, 0.687)
F (0.153, 0.579, 0.313)
F (0.840, 0.921, 0.687)

Output
- crystal system = monoclinic
- raw total energy (eV/atom) = -3.987
- SG = No. 15
- formation energy without anion corrections (kJ/mol of formula units) = -1337.6

Entry from the Alexandria database: crystalline CsIn3F at its relaxed geometry (PBE).

Cell: 6.983 6.983 6.983 Å, 90.00 90.00 90.00°
Element x y z (fractional)
Cs (0.000, 0.000, 0.000)
F (0.500, 0.500, 0.500)
In (0.000, 0.500, 0.000)
In (0.000, 0.000, 0.500)
In (0.500, 0.000, 0.000)

Output
- crystal system = cubic
- raw total energy (eV/atom) = -1.568
- SG = No. 221
- formation energy without anion corrections (kJ/mol of formula units) = 299.1
- distance to the lowest polymorph of the same formula (meV per atom) = 1061

Entry from the Alexandria database: crystalline Cs3InF7 at its relaxed geometry (PBE).

Cell: 8.596 8.596 6.643 Å, 90.00 90.00 90.00°
Site moments in Bohr magnetons follow the coordinates.
Element x y z (fractional)
Cs (0.686, 0.186, 0.500)  0.00
Cs (0.814, 0.686, 0.500)  0.00
Cs (0.186, 0.314, 0.500)  0.00
Cs (0.314, 0.814, 0.500)  0.00
Cs (0.500, 0.500, 0.000)  0.00
Cs (0.000, 0.000, 0.000)  0.00
In (0.500, 0.000, 0.000)  0.00
In (0.000, 0.500, 0.000)  0.00
F (0.884, 0.384, 0.764)  0.12
F (0.116, 0.616, 0.764)  0.12
F (0.384, 0.116, 0.764)  0.12
F (0.616, 0.884, 0.764)  0.12
F (0.884, 0.384, 0.236)  0.12
F (0.616, 0.884, 0.236)  0.12
F (0.384, 0.116, 0.236)  0.12
F (0.116, 0.616, 0.236)  0.12
F (0.000, 0.000, 0.500)  -0.01
F (0.500, 0.500, 0.500)  -0.01
F (0.328, 0.828, 0.000)  0.12
F (0.172, 0.328, 0.000)  0.12
F (0.828, 0.672, 0.000)  0.12
F (0.672, 0.172, 0.000)  0.12

Output
- crystal system = tetragonal
- raw total energy (eV/atom) = -4.124
- SG = No. 127
- formation energy without anion corrections (kJ/mol of formula units) = -2601.4

Entry from the Alexandria database: crystalline CsInF3 at its relaxed geometry (PBE).

Cell: 14.626 8.259 8.259 Å, 96.77 130.46 49.54°
Element x y z (fractional)
Cs (0.228, 0.358, 0.435)
Cs (0.272, 0.935, 0.858)
Cs (0.772, 0.642, 0.565)
Cs (0.728, 0.065, 0.142)
F (0.389, 0.437, 0.384)
F (0.111, 0.884, 0.937)
F (0.611, 0.563, 0.616)
F (0.889, 0.116, 0.063)
F (0.951, 0.394, 0.064)
F (0.549, 0.564, 0.894)
F (0.049, 0.606, 0.936)
F (0.451, 0.436, 0.106)
F (0.602, 0.863, 0.878)
F (0.898, 0.378, 0.363)
F (0.398, 0.137, 0.122)
F (0.102, 0.622, 0.637)
In (0.750, 0.159, 0.659)
In (0.250, 0.841, 0.341)
In (0.750, 0.492, 0.992)
In (0.250, 0.508, 0.008)

Output
- crystal system = monoclinic
- raw total energy (eV/atom) = -4.327
- SG = No. 15
- formation energy without anion corrections (kJ/mol of formula units) = -1199.0

Entry from the Alexandria database: crystalline Cs2In2F at its relaxed geometry (PBE).

Cell: 4.197 4.197 11.160 Å, 79.16 79.16 90.00°
Element x y z (fractional)
Cs (0.415, 0.415, 0.170)
Cs (0.585, 0.585, 0.830)
F (0.000, 0.000, 0.000)
In (0.750, 0.250, 0.500)
In (0.250, 0.750, 0.500)

Output
- crystal system = tetragonal
- raw total energy (eV/atom) = -2.767
- SG = No. 139
- formation energy without anion corrections (kJ/mol of formula units) = -461.3
- distance to the lowest polymorph of the same formula (meV per atom) = 0

Entry from the Alexandria database: crystalline Cs2InF6 at its relaxed geometry (PBE).

Cell: 6.648 6.648 10.201 Å, 90.00 90.00 120.00°
Site moments in Bohr magnetons follow the coordinates.
Element x y z (fractional)
Cs (0.000, 0.000, 0.599)  0.00
Cs (0.000, 0.000, 0.099)  0.00
Cs (0.333, 0.667, 0.866)  0.00
Cs (0.667, 0.333, 0.366)  0.00
In (0.333, 0.667, 0.265)  0.00
In (0.667, 0.333, 0.765)  0.00
F (0.480, 0.959, 0.140)  0.19
F (0.520, 0.480, 0.640)  0.19
F (0.959, 0.480, 0.640)  0.19
F (0.041, 0.520, 0.140)  0.19
F (0.480, 0.520, 0.140)  0.19
F (0.520, 0.041, 0.640)  0.19
F (0.824, 0.649, 0.866)  0.14
F (0.176, 0.824, 0.366)  0.14
F (0.649, 0.824, 0.366)  0.14
F (0.351, 0.176, 0.866)  0.14
F (0.824, 0.176, 0.866)  0.14
F (0.176, 0.351, 0.366)  0.14

Output
- crystal system = hexagonal
- raw total energy (eV/atom) = -4.108
- SG = No. 186
- formation energy without anion corrections (kJ/mol of formula units) = -2055.3

Entry from the Alexandria database: crystalline CsInF3 at its relaxed geometry (PBE).

Cell: 5.377 5.377 8.554 Å, 71.68 71.68 90.00°
Element x y z (fractional)
Cs (0.638, 0.138, 0.724)
Cs (0.862, 0.362, 0.276)
F (0.123, 0.861, 0.278)
F (0.139, 0.877, 0.722)
F (0.139, 0.402, 0.722)
F (0.598, 0.861, 0.278)
F (0.294, 0.294, 0.412)
F (0.706, 0.706, 0.588)
In (0.000, 0.000, 0.000)
In (0.250, 0.750, 0.500)

Output
- crystal system = tetragonal
- raw total energy (eV/atom) = -3.986
- SG = No. 119
- formation energy without anion corrections (kJ/mol of formula units) = -1034.5

Entry from the Alexandria database: crystalline CsIn2F at its relaxed geometry (PBE).

Cell: 5.757 5.757 5.757 Å, 60.00 60.00 60.00°
Element x y z (fractional)
Cs (0.500, 0.500, 0.500)
F (0.000, 0.000, 0.000)
In (0.250, 0.250, 0.250)
In (0.750, 0.750, 0.750)

Output
- crystal system = cubic
- raw total energy (eV/atom) = -2.304
- SG = No. 225
- formation energy without anion corrections (kJ/mol of formula units) = -97.9

Entry from the Alexandria database: crystalline CsIn3F9 at its relaxed geometry (PBE).

Cell: 4.288 8.200 8.200 Å, 120.00 90.00 90.00°
Element x y z (fractional)
Cs (0.000, 0.000, 0.000)
In (0.500, 0.000, 0.500)
In (0.500, 0.500, 0.000)
In (0.500, 0.500, 0.500)
F (0.000, 0.000, 0.500)
F (0.500, 0.201, 0.403)
F (0.500, 0.201, 0.799)
F (0.500, 0.597, 0.799)
F (0.000, 0.500, 0.000)
F (0.500, 0.403, 0.201)
F (0.000, 0.500, 0.500)
F (0.500, 0.799, 0.201)
F (0.500, 0.799, 0.597)

Output
- crystal system = hexagonal
- raw total energy (eV/atom) = -4.506
- SG = No. 191
- formation energy without anion corrections (kJ/mol of formula units) = -3152.2